# CeIn2Ni

A geometry-optimized CeIn2Ni structure (PBE, Alexandria).

Summary:
The value obtained for the formation energy is 19.2 kJ per mole of atoms. The total moment comes out at 0.623 μB per formula unit.

Lattice parameters (Å, degrees): 3.135 3.135 10.787 81.65 81.65 60.00
Atoms (fractional coordinates):
Ce1 0.000 0.000 0.000
Ni1 0.500 0.500 0.500
In1 0.897 0.897 0.310
In2 0.103 0.103 0.690